The following is a PBE-GGA calculation of a relaxed Ti2Ni2Bi crystal, from the Alexandria database.

The total magnetization comes out at 0.67 μB per formula unit. The value obtained for the raw total energy is -63.80 eV per cell. As for the energy of formation: -0.1331 eV/atom. The offset from the most stable computed form comes out at 99 meV/atom.

The structure belongs to space group I4/mmm (No. 139); the cell edges are 4.111, 4.111 and 10.191 Å and the angles 90.00°, 90.00° and 90.00°. The inequivalent atoms are Ti at (0.000, 0.500, 0.250), Ni at (0.000, 0.000, 0.115) and Bi at (0.000, 0.000, 0.500).